No. 1
First-principles (PBE) data for a geometry-optimized ScBrCl2 structure, as listed in the Alexandria database.

Summary:
E_tot (eV per atom): -4.833
Uncorrected formation energy (eV per atom): -1.909
Density of states at the Fermi level (states/eV/f.u.): 0.0
Relative energy among the computed polymorphs (meV per atom): 24

```
data_ScBrCl2
_chemical_formula_sum 'Sc2 Br2 Cl4'
_symmetry_space_group_name_H-M 'C m m m'
_symmetry_Int_Tables_number 65
_symmetry_space_group_name_Hall '-C 2 2'
_cell_length_a 5.318
_cell_length_b 12.945
_cell_length_c 3.705
_cell_angle_alpha 90.00
_cell_angle_beta 90.00
_cell_angle_gamma 90.00
loop_
_atom_site_label
_atom_site_fract_x
_atom_site_fract_y
_atom_site_fract_z
Sc1 0.000 0.000 0.000
Br1 0.000 0.500 0.000
Cl1 0.000 0.131 0.500
```

No. 2
First-principles (PBE) data for a geometry-optimized ScBr2Cl structure, as listed in the Alexandria database.

Summary:
E_tot (eV per atom): -3.575
Uncorrected formation energy (eV per atom): -0.694
Density of states at the Fermi level (states/eV/f.u.): 1.6
Relative energy among the computed polymorphs (meV per atom): 1108

```
data_ScBr2Cl
_chemical_formula_sum 'Sc2 Br4 Cl2'
_symmetry_space_group_name_H-M 'C 1 2/m 1'
_symmetry_Int_Tables_number 12
_cell_length_a 5.465
_cell_length_b 9.114
_cell_length_c 4.043
_cell_angle_alpha 90.00
_cell_angle_beta 90.30
_cell_angle_gamma 90.00
loop_
_symmetry_equiv_pos_as_xyz
'x,y,z'
'-x,-y,-z'
'-x,y,-z'
'x,-y,z'
'x+1/2,y+1/2,z'
'-x+1/2,-y+1/2,-z'
'-x+1/2,y+1/2,-z'
'x+1/2,-y+1/2,z'
loop_
_atom_site_label
_atom_site_fract_x
_atom_site_fract_y
_atom_site_fract_z
Sc1 0.000 0.000 0.000
Br1 0.250 0.250 0.500
Cl1 0.000 0.500 0.000
```